# Li2NiOs

Li2NiOs at its PBEsol-relaxed geometry (meta-GGA SCAN, Alexandria via LeMat-Bulk).

a b c (Å): 2.4999 4.2223 4.6520
angles (deg): 90.00 90.00 90.00
Last column: nearest neighbours and their distance in Å.
Sites, in units of the cell vectors:
Li: 0.0000 0.0000 0.0000  6 Li 2.50-2.54, 4 Ni 2.59-2.69, 2 Os 2.72
Li: 0.5000 0.5000 0.1421  6 Li 2.50-2.54, 4 Os 2.60-2.68, 2 Ni 2.72
Ni: 0.5000 0.0000 0.5121  2 Ni 2.50, 4 Os 2.52, 6 Li 2.59-2.72
Os: 0.0000 0.5000 0.6321  2 Os 2.50, 4 Ni 2.52, 6 Li 2.60-2.72

Summary:
As for the electronic total energy: -23.170 eV per atom. The calculation puts the formation energy at 0.2 eV/f.u. As for the space group: Pmm2 (25). The calculation puts the energy above the most stable polymorph in this dataset at 11 meV per atom.


# AlFe3N

AlFe3N at its PBEsol-relaxed geometry (meta-GGA SCAN, Alexandria via LeMat-Bulk).

a b c (Å): 3.6672 3.6672 3.6672
angles (deg): 90.00 90.00 90.00
Last column: nearest neighbours and their distance in Å.
Sites, in units of the cell vectors:
Al: 0.0000 0.0000 0.0000  12 Fe 2.59
Fe: 0.0000 0.5000 0.5000  2 N 1.83
Fe: 0.5000 0.0000 0.5000  2 N 1.83
Fe: 0.5000 0.5000 0.0000  2 N 1.83
N: 0.5000 0.5000 0.5000  6 Fe 1.83

Summary:
As for the electronic total energy: -14.414 eV per atom. For the raw formation energy, the calculation gives -0.128 eV/atom. As for the space group: Pm-3m (221).


# BaCaTl2

BaCaTl2 at its PBEsol-relaxed geometry (meta-GGA SCAN, Alexandria via LeMat-Bulk).

a b c (Å): 5.0655 5.0655 10.0016
angles (deg): 90.00 90.00 90.00
Last column: nearest neighbours and their distance in Å.
Sites, in units of the cell vectors:
Ba: 0.0000 0.0000 0.0000  8 Tl 3.56-3.58, 4 Ca 3.56
Ba: 0.5000 0.5000 0.5000  8 Tl 3.56-3.58, 4 Ca 3.56
Ca: 0.0000 0.5000 0.2500  4 Ba 3.56, 8 Tl 3.56-3.58
Ca: 0.5000 0.0000 0.7500  4 Ba 3.56, 8 Tl 3.56-3.58
Tl: 0.0000 0.0000 0.5000  4 Tl 3.56, 4 Ca 3.56, 4 Ba 3.58
Tl: 0.0000 0.5000 0.7500  4 Ba 3.56, 4 Tl 3.56, 4 Ca 3.58
Tl: 0.5000 0.0000 0.2500  4 Ba 3.56, 4 Tl 3.56, 4 Ca 3.58
Tl: 0.5000 0.5000 0.0000  4 Tl 3.56, 4 Ca 3.56, 4 Ba 3.58

Summary:
As for the electronic total energy: -48.836 eV per atom. The calculation puts the formation energy at -1.4 eV/f.u. As for the space group: I-4m2 (119).


# YHg3C

YHg3C at its PBEsol-relaxed geometry (meta-GGA SCAN, Alexandria via LeMat-Bulk).

a b c (Å): 4.7021 4.7021 4.7021
angles (deg): 90.00 90.00 90.00
Last column: nearest neighbours and their distance in Å.
Sites, in units of the cell vectors:
Y: 0.0000 0.0000 0.0000  12 Hg 3.32
Hg: 0.0000 0.5000 0.5000  2 C 2.35
Hg: 0.5000 0.0000 0.5000  2 C 2.35
Hg: 0.5000 0.5000 0.0000  2 C 2.35
C: 0.5000 0.5000 0.5000  6 Hg 2.35

Summary:
As for the electronic total energy: -47.762 eV per atom. The calculation puts the formation energy at 3.6 eV/f.u. As for the space group: Pm-3m (221).


# Zr3GaP

Zr3GaP at its PBEsol-relaxed geometry (meta-GGA SCAN, Alexandria via LeMat-Bulk).

a b c (Å): 4.7825 4.7825 4.7825
angles (deg): 90.00 90.00 90.00
Last column: nearest neighbours and their distance in Å.
Sites, in units of the cell vectors:
Zr: 0.0000 0.0000 0.5000  2 P 2.39
Zr: 0.0000 0.5000 0.0000  2 P 2.39
Zr: 0.5000 0.0000 0.0000  2 P 2.39
Ga: 0.5000 0.5000 0.5000  12 Zr 3.38
P: 0.0000 0.0000 0.0000  6 Zr 2.39

Summary:
As for the electronic total energy: -24.171 eV per atom. The calculation puts the formation energy at -2.0 eV/f.u. As for the space group: Pm-3m (221).


# ScH2

ScH2 at its PBEsol-relaxed geometry (meta-GGA SCAN, Alexandria via LeMat-Bulk).

a b c (Å): 4.7017 4.7017 4.7017
angles (deg): 90.00 90.00 90.00
Last column: nearest neighbours and their distance in Å.
Sites, in units of the cell vectors:
Sc: 0.0000 0.0000 0.0000  8 H 2.04
Sc: 0.0000 0.5000 0.5000  8 H 2.04
Sc: 0.5000 0.0000 0.5000  8 H 2.04
Sc: 0.5000 0.5000 0.0000  8 H 2.04
H: 0.2500 0.2500 0.2500  4 Sc 2.04
H: 0.2500 0.2500 0.7500  4 Sc 2.04
H: 0.2500 0.7500 0.2500  4 Sc 2.04
H: 0.2500 0.7500 0.7500  4 Sc 2.04
H: 0.7500 0.2500 0.2500  4 Sc 2.04
H: 0.7500 0.2500 0.7500  4 Sc 2.04
H: 0.7500 0.7500 0.2500  4 Sc 2.04
H: 0.7500 0.7500 0.7500  4 Sc 2.04

Summary:
As for the electronic total energy: -7.815 eV per atom. As for the space group: Fm-3m (225).


# TcP2PtS

TcP2PtS at its PBEsol-relaxed geometry (meta-GGA SCAN, Alexandria via LeMat-Bulk).

a b c (Å): 4.5748 4.5748 4.3315
angles (deg): 90.00 90.00 90.00
Last column: nearest neighbours and their distance in Å.
Sites, in units of the cell vectors:
Tc: 0.0000 0.0000 0.0000  2 S 2.17, 4 P 2.29
P: 0.0000 0.5000 0.0000  2 Tc 2.29
P: 0.5000 0.0000 0.0000  2 Tc 2.29
Pt: 0.5000 0.5000 0.5000  8 P 3.15, 4 S 3.23
S: 0.0000 0.0000 0.5000  2 Tc 2.17

Summary:
As for the electronic total energy: -26.288 eV per atom. For the raw formation energy, the calculation gives 0.848 eV/atom. As for the space group: P4/mmm (123). The calculation puts the energy above the most stable polymorph in this dataset at 0 meV per atom.


# Sb2RuPb

Sb2RuPb at its PBEsol-relaxed geometry (meta-GGA SCAN, Alexandria via LeMat-Bulk).

a b c (Å): 3.1840 3.2552 18.3494
angles (deg): 90.00 90.00 90.00
Last column: nearest neighbours and their distance in Å.
Sites, in units of the cell vectors:
Sb: 0.0000 0.0000 0.0000  4 Ru 2.67
Sb: 0.0000 0.5000 0.1922  2 Ru 2.66
Sb: 0.5000 0.0000 0.6922  2 Ru 2.66
Sb: 0.5000 0.5000 0.5000  4 Ru 2.67
Ru: 0.0000 0.0000 0.5764  6 Sb 2.66-2.67
Ru: 0.5000 0.5000 0.0764  6 Sb 2.66-2.67
Pb: 0.0000 0.5000 0.8406  4 Pb 3.18-3.26, 6 Sb 3.35-3.55
Pb: 0.5000 0.0000 0.3406  4 Pb 3.18-3.26, 6 Sb 3.35-3.55

Summary:
As for the electronic total energy: -46.214 eV per atom. For the raw formation energy, the calculation gives 0.068 eV/atom. As for the space group: Imm2 (44).


# IF7

IF7 at its PBEsol-relaxed geometry (meta-GGA SCAN, Alexandria via LeMat-Bulk).

a b c (Å): 8.9481 5.4238 5.4238
angles (deg): 110.73 90.00 90.00
Last column: nearest neighbours and their distance in Å.
Sites, in units of the cell vectors:
I: 0.0000 0.0000 0.0000  7 F 1.84-1.89
I: 0.5000 0.5000 0.5000  7 F 1.84-1.89
F: 0.0000 0.3058 0.3058  1 I 1.89
F: 0.0924 0.8363 0.6688  1 I 1.89
F: 0.1081 0.2616 0.9208  1 I 1.89
F: 0.1650 0.8833 0.1273  1 I 1.84
F: 0.3350 0.3833 0.6273  1 I 1.84
F: 0.3919 0.7616 0.4208  1 I 1.89
F: 0.4076 0.3363 0.1688  1 I 1.89
F: 0.5000 0.8058 0.8058  1 I 1.89
F: 0.5924 0.1688 0.3363  1 I 1.89
F: 0.6081 0.4208 0.7616  1 I 1.89
F: 0.6650 0.6273 0.3833  1 I 1.84
F: 0.8350 0.1273 0.8833  1 I 1.84
F: 0.8919 0.9208 0.2616  1 I 1.89
F: 0.9076 0.6688 0.8363  1 I 1.89

Summary:
As for the electronic total energy: -9.040 eV per atom. For the raw formation energy, the calculation gives -1.350 eV/atom. As for the space group: Aea2 (41). The calculation puts the energy above the most stable polymorph in this dataset at 0 meV per atom.


# SrAsP2

SrAsP2 at its PBEsol-relaxed geometry (meta-GGA SCAN, Alexandria via LeMat-Bulk).

a b c (Å): 4.9078 5.6919 5.9187
angles (deg): 90.00 90.00 90.00
Last column: nearest neighbours and their distance in Å.
Sites, in units of the cell vectors:
Sr: 0.0000 0.0000 0.0000  2 As 2.96, 4 P 3.08
Sr: 0.5000 0.5000 0.0000  2 As 2.96, 4 P 3.08
As: 0.0000 0.0000 0.5000  4 P 2.69, 2 Sr 2.96
As: 0.5000 0.5000 0.5000  4 P 2.69, 2 Sr 2.96
P: 0.0000 0.5000 0.3135  1 P 2.21
P: 0.0000 0.5000 0.6865  1 P 2.21
P: 0.5000 0.0000 0.3135  1 P 2.21
P: 0.5000 0.0000 0.6865  1 P 2.21

Summary:
As for the electronic total energy: -15.992 eV per atom. The calculation puts the formation energy at -0.7 eV/f.u. As for the space group: Cmmm (65).


# ZrSc

ZrSc at its PBEsol-relaxed geometry (meta-GGA SCAN, Alexandria via LeMat-Bulk).

a b c (Å): 3.1474 3.1474 4.5187
angles (deg): 90.00 90.00 90.00
Last column: nearest neighbours and their distance in Å.
Sites, in units of the cell vectors:
Zr: 0.0000 0.0000 0.0000  4 Zr 3.15, 8 Sc 3.17
Sc: 0.5000 0.5000 0.5000  4 Sc 3.15, 8 Zr 3.17

Summary:
As for the electronic total energy: -22.417 eV per atom. The calculation puts the formation energy at 0.1 eV/f.u. As for the space group: P4/mmm (123).


# SrRhS2

SrRhS2 at its PBEsol-relaxed geometry (meta-GGA SCAN, Alexandria via LeMat-Bulk).

a b c (Å): 4.3896 4.3896 21.8826
angles (deg): 90.00 90.00 120.00
Last column: nearest neighbours and their distance in Å.
Sites, in units of the cell vectors:
Sr: 0.0000 0.0000 0.0000  6 S 2.92
Sr: 0.3333 0.6667 0.6667  6 S 2.92
Sr: 0.6667 0.3333 0.3333  6 S 2.92
Rh: 0.0000 0.0000 0.5000  2 S 2.19
Rh: 0.3333 0.6667 0.1667  2 S 2.19
Rh: 0.6667 0.3333 0.8333  2 S 2.19
S: 0.0000 0.0000 0.4000  1 Rh 2.19
S: 0.0000 0.0000 0.6000  1 Rh 2.19
S: 0.3333 0.6667 0.0667  1 Rh 2.19
S: 0.3333 0.6667 0.2667  1 Rh 2.19
S: 0.6667 0.3333 0.7333  1 Rh 2.19
S: 0.6667 0.3333 0.9333  1 Rh 2.19

Summary:
As for the electronic total energy: -19.425 eV per atom. For the raw formation energy, the calculation gives -0.599 eV/atom. As for the space group: R-3m (166).


# ReRh2Se

ReRh2Se at its PBEsol-relaxed geometry (meta-GGA SCAN, Alexandria via LeMat-Bulk).

a b c (Å): 2.8167 3.7729 5.4550
angles (deg): 90.00 90.00 90.00
Last column: nearest neighbours and their distance in Å.
Sites, in units of the cell vectors:
Re: 0.0000 0.0000 0.0000  8 Rh 2.68, 2 Se 2.73, 2 Re 2.82
Rh: 0.5000 0.5000 0.2356  3 Rh 2.57-2.82, 4 Re 2.68, 4 Se 2.76
Rh: 0.5000 0.5000 0.7644  3 Rh 2.57-2.82, 4 Re 2.68, 4 Se 2.76
Se: 0.0000 0.0000 0.5000  2 Re 2.73, 8 Rh 2.76, 2 Se 2.82

Summary:
As for the electronic total energy: -39.468 eV per atom. For the raw formation energy, the calculation gives 0.212 eV/atom. As for the space group: Pmmm (47).